[1]
Compound: Ni3Sb
Source: Alexandria via LeMat-Bulk
Functional: GGA-PBEsol
Structure: relaxed

Values from the calculation:
Its space group is No. 194. The uncorrected energy comes out at -5.93 eV per atom. As for the excess energy over the best structure of this formula in the dataset: 0.0064 eV per atom. The calculation puts the calculated density at 9.97 Mg/m³.

a b c (Å): 5.210 5.210 4.221
angles (deg): 90.00 90.00 120.00
Sites, in units of the cell vectors:
Ni (0.162, 0.325, 0.250)
Ni (0.162, 0.838, 0.250)
Ni (0.325, 0.162, 0.750)
Ni (0.675, 0.838, 0.250)
Ni (0.838, 0.162, 0.750)
Ni (0.838, 0.675, 0.750)
Sb (0.333, 0.667, 0.750)
Sb (0.667, 0.333, 0.250)



[2]
Compound: ZnInAg
Source: Alexandria via LeMat-Bulk
Functional: GGA-PBEsol
Structure: relaxed

Values from the calculation:
Its space group is No. 42. The uncorrected energy comes out at -2.58 eV per atom. The calculation puts the calculated density at 8.81 Mg/m³. The formation energy comes out at 0.05 eV/atom.

a b c (Å): 4.164 4.219 12.369
angles (deg): 90.00 90.00 90.00
Sites, in units of the cell vectors:
Zn (0.000, 0.000, 0.000)
Zn (0.000, 0.500, 0.500)
Zn (0.500, 0.000, 0.500)
Zn (0.500, 0.500, 0.000)
In (0.000, 0.000, 0.676)
In (0.000, 0.500, 0.176)
In (0.500, 0.000, 0.176)
In (0.500, 0.500, 0.676)
Ag (0.000, 0.000, 0.358)
Ag (0.000, 0.500, 0.858)
Ag (0.500, 0.000, 0.858)
Ag (0.500, 0.500, 0.358)



[3]
Compound: LiNi2Ru
Source: Alexandria via LeMat-Bulk
Functional: GGA-PBEsol
Structure: relaxed

Values from the calculation:
Its space group is No. 119. The uncorrected energy comes out at -5.90 eV per atom. As for the excess energy over the best structure of this formula in the dataset: 0.1601 eV per atom. The calculation puts the calculated density at 8.44 Mg/m³. The formation energy comes out at 0.22 eV/atom.

a b c (Å): 3.556 3.556 7.016
angles (deg): 90.00 90.00 90.00
Sites, in units of the cell vectors:
Li (0.000, 0.000, 0.000)
Li (0.500, 0.500, 0.500)
Ni (0.000, 0.000, 0.500)
Ni (0.000, 0.500, 0.250)
Ni (0.500, 0.000, 0.750)
Ni (0.500, 0.500, 0.000)
Ru (0.000, 0.500, 0.750)
Ru (0.500, 0.000, 0.250)